Below is a geometry-optimized U2V3Si4 structure, with properties calculated at the PBE level.

Cell and atoms, written as CIF:
```
data_U2V3Si4
_space_group_name_H-M_alt 'P 1 21/c 1'
_space_group_IT_number 14
_cell_length_a 6.6889
_cell_length_b 6.6707
_cell_length_c 6.7952
_cell_angle_alpha 90.00
_cell_angle_beta 110.78
_cell_angle_gamma 90.00
loop_
_space_group_symop_operation_xyz
'x,y,z'
'-x,-y,-z'
'-x,y+1/2,-z+1/2'
'x,-y+1/2,z+1/2'
loop_
_atom_site_label
_atom_site_type_symbol
_atom_site_fract_x
_atom_site_fract_y
_atom_site_fract_z
U1 U 0.1537 0.1326 0.0487
V1 V 0.2549 0.6780 0.2543
V2 V 0.5000 0.0000 0.5000
Si1 Si 0.0940 0.5413 0.8858
Si2 Si 0.4826 0.1364 0.8608
```

Formation energy (no corrections) (kJ per mole of atoms): -44.1
M_tot (μB/atom): 0.000